#a
Entry from Alexandria: a geometry-optimized PaP2Ru structure (GGA-PBE).

a = 3.9818 Å, b = 3.9818 Å, c = 9.3399 Å
α = 102.31°, β = 102.31°, γ = 90.00°
Closest atoms and distances in Å follow each position.
Fractional coordinates of all 8 atoms:
P 0.0000 0.5000 0.0000  4 P 2.82, 4 Pa 2.82
P 0.6777 0.6777 0.3555  4 Ru 2.37
P 0.5000 0.0000 0.0000  4 P 2.82, 4 Pa 2.82
Ru 0.2500 0.7500 0.5000  4 P 2.37
Pa 0.1124 0.1124 0.2249  8 P 2.82-3.05, 4 Ru 3.16
Ru 0.7500 0.2500 0.5000  4 P 2.37
Pa 0.8876 0.8876 0.7751  8 P 2.82-3.05, 4 Ru 3.16
P 0.3223 0.3223 0.6445  4 Ru 2.37

Values from the calculation:
Total moment ... 0.00 Bohr magnetons per cell
Calculated density ... 9.3 g/cm3
D(E_F) ... 4.40 states/eV/cell

#b
Entry from Alexandria: a geometry-optimized PaP2Ru structure (GGA-PBE).

a = 3.9044 Å, b = 3.9020 Å, c = 5.5160 Å
α = 110.72°, β = 110.73°, γ = 89.98°
Closest atoms and distances in Å follow each position.
Fractional coordinates of all 4 atoms:
P 0.6016 0.2613 0.9883  1 P 2.29, 2 Ru 2.31
Ru 0.4710 0.6312 0.7280  4 P 2.31
P 0.8412 0.5012 0.4683  1 P 2.29, 2 Ru 2.31
Pa 0.2214 0.8810 0.2281  8 P 2.99, 4 Ru 3.08-3.09

Values from the calculation:
Total moment ... 0.00 Bohr magnetons per cell
Calculated density ... 9.0 g/cm3
D(E_F) ... 4.26 states/eV/cell

#c
Entry from Alexandria: a geometry-optimized PaP2Ru structure (GGA-PBE).

a = 3.8869 Å, b = 3.8869 Å, c = 5.7227 Å
α = 70.15°, β = 70.15°, γ = 60.00°
Closest atoms and distances in Å follow each position.
Fractional coordinates of all 4 atoms:
P 0.2696 0.2696 0.1911  3 Ru 2.46
P 0.7304 0.7304 0.8089  3 Ru 2.46
Ru 0.0000 0.0000 0.0000  6 P 2.46
Pa 0.5000 0.5000 0.5000  6 P 2.77

Values from the calculation:
Total moment ... 0.79 Bohr magnetons per cell
Calculated density ... 9.5 g/cm3
D(E_F) ... 5.27 states/eV/cell

Relative energies with respect to the most stable structure, expressed in kJ/mol of atoms: #a 0.0; #b 9.8; #c 4.1.